! Co6Ni12Au, relaxed, DFT PBE; values from VASP
&SYSTEM
  ibrav = 0, nat = 19, ntyp = 3
/
ATOMIC_SPECIES
Co 58.93 Co.upf
Ni 58.69 Ni.upf
Au 196.97 Au.upf
CELL_PARAMETERS angstrom
5.250 3.031 2.488
-5.250 3.031 2.488
0.000 -6.062 2.488
ATOMIC_POSITIONS crystal
Co 0.287 0.697 0.697
Co 0.303 0.303 0.713
Co 0.303 0.713 0.303
Co 0.697 0.287 0.697
Co 0.697 0.697 0.287
Co 0.713 0.303 0.303
Ni 0.113 0.500 0.887
Ni 0.113 0.887 0.500
Ni 0.123 0.362 0.362
Ni 0.362 0.123 0.362
Ni 0.362 0.361 0.123
Ni 0.500 0.113 0.887
Ni 0.500 0.887 0.113
Ni 0.638 0.638 0.877
Ni 0.638 0.877 0.638
Ni 0.877 0.639 0.638
Ni 0.887 0.113 0.500
Ni 0.887 0.500 0.113
Au 0.000 0.000 0.000
! SG: R-3m (166)
! Total energy, eV/cell: -108.56
! DOS at the Fermi energy, states/eV per cell: 25.26
! Energy relative to the elements, eV/atom: 0.354
! Total magnetic moment, μB per formula unit: 18.66